[1]
Here is a relaxed structure of Cs3Dy3ZrSe8 from the Alexandria database. Energies are from PBE-GGA.

a b c (Å): 8.2997 8.2997 25.6259
angles (deg): 90.00 90.00 120.00
Space group R-3m (No. 166, hexagonal axes)
Unique sites:
Cs (0.0000, 0.5000, 0.0000) x9
Dy (0.0000, 0.5000, 0.5000) x9
Zr (0.0000, 0.0000, 0.5000) x3
Se (0.0000, 0.0000, 0.2284) x6
Se (0.0143, 0.5072, 0.2267) x18

Calculated values
The total energy comes out at -5.186 eV/atom. Its crystal system is trigonal. The calculation puts the total moment at 0.0 μB/cell. For the formation energy from raw total energies, the calculation gives -1.67 eV per atom.

[2]
Here is a relaxed structure of Cs3Dy3SnTe8 from the Alexandria database. Energies are from PBE-GGA.

a b c (Å): 15.439 8.892 10.529
angles (deg): 90.00 119.34 90.00
Space group C2/m (No. 12)
Unique sites:
Cs (0.000, 0.000, 0.000) x2
Cs (0.250, 0.250, 0.000) x4
Dy (0.000, 0.500, 0.500) x2
Dy (0.250, 0.250, 0.500) x4
Sn (0.000, 0.000, 0.500) x2
Te (0.020, 0.247, 0.314) x8
Te (0.227, 0.000, 0.686) x4
Te (0.230, 0.500, 0.690) x4

Calculated values
The total energy comes out at -4.145 eV/atom. Its crystal system is monoclinic. The calculation puts the total moment at 0.0 μB/cell. For the formation energy from raw total energies, the calculation gives -1.11 eV per atom.

[3]
Here is a relaxed structure of Cs3Tb3DyTe8 from the Alexandria database. Energies are from PBE-GGA.

a b c (Å): 8.8825 8.8825 27.6685
angles (deg): 90.00 90.00 120.00
Space group R-3m (No. 166, hexagonal axes)
Unique sites:
Cs (0.0000, 0.5000, 0.0000) x9
Tb (0.0000, 0.5000, 0.5000) x9
Dy (0.0000, 0.0000, 0.5000) x3
Te (0.0000, 0.0000, 0.2305) x6
Te (0.0010, 0.5005, 0.7698) x18

Calculated values
The total energy comes out at -4.409 eV/atom. Its crystal system is trigonal. The calculation puts the total moment at 0.0 μB/cell. For the formation energy from raw total energies, the calculation gives -1.33 eV per atom.

[4]
Here is a relaxed structure of CsDy6Te8 from the Alexandria database. Energies are from PBE-GGA.

a b c (Å): 11.7415 11.7415 4.4467
angles (deg): 90.00 90.00 120.00
Space group P-3 (No. 147)
Unique sites:
Cs (0.0000, 0.0000, 0.0000) x1
Dy (0.1372, 0.4868, 0.2491) x6
Te (0.0451, 0.6925, 0.2512) x6
Te (0.3333, 0.6667, 0.7495) x2

Calculated values
The total energy comes out at -4.932 eV/atom. Its crystal system is trigonal. The calculation puts the total moment at 0.0 μB/cell. For the formation energy from raw total energies, the calculation gives -1.36 eV per atom.

[5]
Here is a relaxed structure of Cs2DyTe6 from the Alexandria database. Energies are from PBE-GGA.

a b c (Å): 16.923 9.520 5.123
angles (deg): 90.00 102.23 90.00
Space group C2/m (No. 12)
Unique sites:
Cs (0.176, 0.000, 0.436) x4
Dy (0.000, 0.500, 0.000) x2
Te (0.000, 0.301, 0.500) x4
Te (0.156, 0.333, 0.907) x8

Calculated values
The total energy comes out at -3.504 eV/atom. Its crystal system is monoclinic. The calculation puts the total moment at 0.0 μB/cell. For the formation energy from raw total energies, the calculation gives -0.71 eV per atom.

[6]
Here is a relaxed structure of CsDy2Te3 from the Alexandria database. Energies are from PBE-GGA.

a b c (Å): 8.207 4.433 12.072
angles (deg): 90.00 103.73 90.00
Space group P2_1/m (No. 11)
Unique sites:
Cs (0.031, 0.250, 0.343) x2
Dy (0.259, 0.250, 0.992) x2
Dy (0.498, 0.750, 0.311) x2
Te (0.145, 0.750, 0.135) x2
Te (0.330, 0.750, 0.526) x2
Te (0.388, 0.750, 0.847) x2

Calculated values
The total energy comes out at -4.478 eV/atom. Its crystal system is monoclinic. The calculation puts the total moment at 0.0 μB/cell. For the formation energy from raw total energies, the calculation gives -1.23 eV per atom.

[7]
Here is a relaxed structure of CsDy2Te3 from the Alexandria database. Energies are from PBE-GGA.

a b c (Å): 4.757 17.579 11.865
angles (deg): 90.00 90.00 90.00
Space group Cmcm (No. 63)
Unique sites:
Cs (0.000, 0.245, 0.250) x4
Dy (0.000, 0.032, 0.750) x4
Dy (0.000, 0.500, 0.000) x4
Te (0.000, 0.119, 0.540) x8
Te (0.000, 0.434, 0.750) x4

Calculated values
The total energy comes out at -4.481 eV/atom. Its crystal system is orthorhombic. The calculation puts the total moment at 0.0 μB/cell. For the formation energy from raw total energies, the calculation gives -1.23 eV per atom.

[8]
Here is a relaxed structure of CsDyTe3 from the Alexandria database. Energies are from PBE-GGA.

a b c (Å): 17.027 6.735 7.177
angles (deg): 90.00 90.00 90.00
Space group Pbcm (No. 57)
Unique sites:
Cs (0.188, 0.030, 0.250) x4
Dy (0.422, 0.750, 0.000) x4
Te (0.005, 0.750, 0.000) x4
Te (0.306, 0.546, 0.250) x4
Te (0.437, 0.112, 0.250) x4

Calculated values
The total energy comes out at -3.949 eV/atom. Its crystal system is orthorhombic. The calculation puts the total moment at 0.0 μB/cell. For the formation energy from raw total energies, the calculation gives -0.97 eV per atom.